1.
Material: BaCa2ErTl4
Method: DFT, PBE-GGA
State: optimized geometry

Structure (POSCAR):
```
BaCa2ErTl4
1.0
2.766 1.597 9.519
-2.766 1.597 9.519
0.000 -3.194 9.519
Ba Ca Er Tl
1 2 1 4
direct
0.000 0.000 0.000 Ba
0.245 0.245 0.245 Ca
0.755 0.755 0.755 Ca
0.500 0.500 0.500 Er
0.128 0.128 0.128 Tl
0.388 0.388 0.388 Tl
0.612 0.612 0.612 Tl
0.872 0.872 0.872 Tl
```

## Properties
total DFT energy (no corrections): -2.863 eV/atom
space-group type: No. 166
E_form: -0.369 eV per atom

=====

2.
Material: BaCaEu4
Method: DFT, PBE-GGA
State: optimized geometry

Structure (POSCAR):
```
BaCaEu4
1.0
0.000 5.235 5.235
5.235 0.000 5.235
5.235 5.235 0.000
Ba Ca Eu
1 1 4
direct
0.000 0.000 0.000 Ba
0.750 0.750 0.750 Ca
0.376 0.376 0.376 Eu
0.376 0.376 0.872 Eu
0.376 0.872 0.376 Eu
0.872 0.376 0.376 Eu
```

## Properties
total DFT energy (no corrections): -7.419 eV/atom
space-group type: No. 216
E_form: 0.085 eV per atom

=====

3.
Material: BaCaEu2
Method: DFT, PBE-GGA
State: optimized geometry

Structure (POSCAR):
```
BaCaEu2
1.0
5.649 0.000 0.000
0.000 5.649 0.000
0.000 0.000 6.022
Ba Ca Eu
1 1 2
direct
0.000 0.000 0.000 Ba
0.500 0.500 0.000 Ca
0.000 0.500 0.500 Eu
0.500 0.000 0.500 Eu
```

## Properties
excess energy over the best structure of this formula in the dataset: 16 meV per atom
total DFT energy (no corrections): -6.059 eV/atom
space-group type: No. 123
E_form: 0.059 eV per atom

=====

4.
Material: BaCaEu2
Method: DFT, PBE-GGA
State: optimized geometry

Structure (POSCAR):
```
BaCaEu2
1.0
4.530 0.000 0.000
0.000 4.530 0.000
0.000 0.000 9.382
Ba Ca Eu
1 1 2
direct
0.000 0.000 0.000 Ba
0.000 0.000 0.500 Ca
0.500 0.500 0.278 Eu
0.500 0.500 0.722 Eu
```

## Properties
excess energy over the best structure of this formula in the dataset: 0 meV per atom
total DFT energy (no corrections): -6.075 eV/atom
space-group type: No. 123
E_form: 0.043 eV per atom

=====

- What is the formula in the third record?
  BaCaEu2